# SrZn2Ir

A relaxed SrZn2Ir crystal (GGA-PBEsol, Alexandria via LeMat-Bulk).

Output
The formation enthalpy at 0 K is -0.25 eV per atom. The calculation puts the density of states at the Fermi level at 1.9 states/eV/f.u. The calculation puts the spin magnetization at 0.0 μB per formula unit.

Lattice parameters (Å, degrees): 5.868 5.868 5.868 43.38 43.38 43.38
Fractional positions:
Sr: 0.000 0.000 0.000
Zn: 0.189 0.189 0.189
Zn: 0.478 0.478 0.478
Ir: 0.808 0.808 0.808

=====

# Ca2SbH2

A relaxed Ca2SbH2 crystal (GGA-PBEsol, Alexandria via LeMat-Bulk).

Output
The calculation puts the density of states at the Fermi level at 0.5 states/eV/f.u. The calculation puts the spin magnetization at 0.0 μB per formula unit.

Lattice parameters (Å, degrees): 7.011 7.011 7.011 149.10 149.10 44.26
Fractional positions:
Ca: 0.153 0.153 0.000
Ca: 0.847 0.847 0.000
Sb: 0.500 0.500 0.000
H: 0.250 0.750 0.500
H: 0.750 0.250 0.500

=====

For the records above, the corresponding calculated total energy values read -3.958 -3.851 eV per atom.